No. 1
The following is a DFT calculation (PBE-GGA) of AcGdGaSn after structural relaxation.

Lattice parameters (Å, degrees): 5.490 5.490 5.490 60.00 60.00 60.00
Atoms (fractional coordinates):
Ac1 0.000 0.000 0.000
Gd1 0.500 0.500 0.500
Ga1 0.750 0.750 0.750
Sn1 0.250 0.250 0.250

The calculation puts the density of states at the Fermi level at 0.928 states/eV per atom. Its formation energy is -0.51 eV/atom. The value obtained for the total magnetization is 7.1 μB/f.u. As for the symmetry: No. 216. Its crystal system is cubic. Its calculated volume is 117.0 Å³/f.u.

***

No. 2
The following is a DFT calculation (PBE-GGA) of NpAs2Pb after structural relaxation.

Lattice parameters (Å, degrees): 3.810 3.810 6.455 90.00 90.00 90.00
Atoms (fractional coordinates):
Np1 0.000 0.000 0.000
As1 0.500 0.500 0.209
As2 0.500 0.500 0.791
Pb1 0.000 0.000 0.500

The calculation puts the density of states at the Fermi level at 2.044 states/eV per atom. Its formation energy is -0.25 eV/atom. The value obtained for the total magnetization is 3.7 μB/f.u. Its polymorph energy (0 for the lowest one) is 0.221 eV/f.u. As for the symmetry: No. 123. Its crystal system is tetragonal. Its calculated volume is 93.7 Å³/f.u.

***

No. 3
The following is a DFT calculation (PBE-GGA) of NaCuBiF6 after structural relaxation.

Lattice parameters (Å, degrees): 5.769 5.769 9.447 90.00 90.00 120.00
Atoms (fractional coordinates):
Na1 0.000 0.000 0.000
Na2 0.000 0.000 0.500
Cu1 0.333 0.667 0.250
Cu2 0.667 0.333 0.750
Bi1 0.333 0.667 0.750
Bi2 0.667 0.333 0.250
F1 0.030 0.367 0.133
F2 0.030 0.664 0.367
F3 0.336 0.367 0.367
F4 0.336 0.970 0.133
F5 0.367 0.030 0.633
F6 0.367 0.336 0.867
F7 0.633 0.664 0.133
F8 0.633 0.970 0.367
F9 0.664 0.030 0.867
F10 0.664 0.633 0.633
F11 0.970 0.336 0.633
F12 0.970 0.633 0.867

The calculation puts the density of states at the Fermi level at 0.727 states/eV per atom. The value obtained for the total magnetization is 1.0 μB/f.u. As for the symmetry: No. 163. Its crystal system is trigonal. Its calculated volume is 136.1 Å³/f.u. Its formation energy from raw total energies is -2161 meV/atom.

***

> What is the calculated volume in the second record?

93.7 Å³/f.u.